[1]
Here is a relaxed structure of ScZn6 from Alexandria. Energies are from GGA-PBE.

Properties
For the final energy, the calculation gives -2.219 eV per atom. As for the density: 6.53 g/cm³. Its energy of formation is -0.223 eV per atom. The value obtained for the offset from the most stable computed form is 0.0 meV per atom. The calculation puts the total magnetization at 0.000 μB/atom.

abc: 13.7697 13.8376 13.9999
angles: 90.00 90.00 90.00
With the nearest neighbours (Å) after each atom.
Space group Immm (No. 71)
Asymmetric unit:
Sc (0.0000, 0.1922, 0.1968) (multiplicity 8)  16 Zn 2.90-3.20
Sc (0.1868, 0.2984, 0.5000) (multiplicity 8)  15 Zn 2.87-3.13
Sc (0.2017, 0.5000, 0.1933) (multiplicity 8)  17 Zn 2.93-3.24
Zn (0.0000, 0.0000, 0.0881) (multiplicity 4)  3 Zn 2.47-2.49
Zn (0.0000, 0.2285, 0.4096) (multiplicity 8)  6 Zn 2.53-2.74
Zn (0.0000, 0.3099, 0.0000) (multiplicity 4)  8 Zn 2.50-2.74
Zn (0.0000, 0.4041, 0.5000) (multiplicity 4)  7 Zn 2.65-2.81, 2 Sc 2.96
Zn (0.0000, 0.4054, 0.1518) (multiplicity 8)  7 Zn 2.50-2.75
Zn (0.0000, 0.5000, 0.3067) (multiplicity 4)  8 Zn 2.50-2.71
Zn (0.0899, 0.0000, 0.4139) (multiplicity 8)  5 Zn 2.41-2.68
Zn (0.0952, 0.0000, 0.2397) (multiplicity 8)  5 Zn 2.44-2.62
Zn (0.0956, 0.5000, 0.0000) (multiplicity 4)  9 Zn 2.63-2.94
Zn (0.0972, 0.1551, 0.0000) (multiplicity 8)  7 Zn 2.51-2.75
Zn (0.1134, 0.3404, 0.3006) (multiplicity 16)  7 Zn 2.61-2.75
Zn (0.1514, 0.5000, 0.4052) (multiplicity 8)  7 Zn 2.50-2.75
Zn (0.1594, 0.3025, 0.1171) (multiplicity 16)  7 Zn 2.60-2.75, 1 Sc 2.90
Zn (0.1612, 0.1616, 0.3358) (multiplicity 16)  7 Zn 2.60-2.76
Zn (0.1916, 0.0000, 0.0000) (multiplicity 4)  8 Zn 2.51-2.78
Zn (0.2040, 0.1226, 0.1566) (multiplicity 16)  7 Zn 2.54-2.78
Zn (0.2382, 0.0933, 0.5000) (multiplicity 8)  8 Zn 2.58-2.70



[2]
Here is a relaxed structure of Sc3Zn from Alexandria. Energies are from GGA-PBE.

Properties
For the final energy, the calculation gives -5.164 eV per atom. As for the density: 3.91 g/cm³. Its energy of formation is -0.097 eV per atom. The calculation puts the total magnetization at 0.001 μB/atom.

abc: 4.8851 6.1857 5.6357
angles: 90.00 90.00 90.00
With the nearest neighbours (Å) after each atom.
Space group Pmmn (No. 59, origin choice 2)
Asymmetric unit:
Sc (0.2500, 0.0062, 0.1590) (multiplicity 4)  8 Sc 3.02-3.34, 4 Zn 3.03-3.27
Sc (0.2500, 0.2500, 0.6293) (multiplicity 2)  4 Zn 2.96-3.10, 6 Sc 3.05-3.15
Zn (0.2500, 0.7500, 0.6670) (multiplicity 2)  12 Sc 2.96-3.27



[3]
Here is a relaxed structure of ScZn22 from Alexandria. Energies are from GGA-PBE.

Properties
For the final energy, the calculation gives -1.546 eV per atom. As for the density: 6.94 g/cm³. Its energy of formation is -0.053 eV per atom. The calculation puts the total magnetization at 0.000 μB/atom.

abc: 14.1600 14.1600 14.1600
angles: 90.00 90.00 90.00
With the nearest neighbours (Å) after each atom.
Space group Fd-3m (No. 227, origin choice 2)
Asymmetric unit:
Sc (0.1250, 0.1250, 0.1250) (multiplicity 8)  16 Zn 3.03-3.07
Zn (0.0000, 0.0000, 0.0000) (multiplicity 16)  12 Zn 2.97, 2 Sc 3.07
Zn (0.0000, 0.0000, 0.5000) (multiplicity 16)  6 Zn 2.51
Zn (0.0136, 0.3750, 0.8750) (multiplicity 48)  8 Zn 2.51-2.77
Zn (0.0615, 0.0615, 0.3190) (multiplicity 96)  7 Zn 2.54-2.84



[4]
Here is a relaxed structure of ScZn2 from Alexandria. Energies are from GGA-PBE.

Properties
For the final energy, the calculation gives -2.541 eV per atom. As for the density: 4.26 g/cm³. Its energy of formation is 0.418 eV per atom. The calculation puts the total magnetization at 0.000 μB/atom.

abc: 6.4935 6.4935 6.4935
angles: 90.00 90.00 90.00
With the nearest neighbours (Å) after each atom.
Space group Pa-3 (No. 205)
Asymmetric unit:
Sc (0.0000, 0.0000, 0.0000) (multiplicity 4)  6 Zn 2.73
Zn (0.1092, 0.6092, 0.8908) (multiplicity 8)  1 Zn 2.46, 3 Sc 2.73



[5]
Here is a relaxed structure of ScZn6 from Alexandria. Energies are from GGA-PBE.

Properties
For the final energy, the calculation gives -1.555 eV per atom. As for the density: 4.76 g/cm³. Its energy of formation is 0.441 eV per atom. The value obtained for the offset from the most stable computed form is 664.2 meV per atom. The calculation puts the total magnetization at 0.000 μB/atom.

abc: 6.7344 6.7344 6.7344
angles: 90.00 90.00 90.00
With the nearest neighbours (Å) after each atom.
Space group Im-3m (No. 229)
Asymmetric unit:
Sc (0.0000, 0.0000, 0.0000) (multiplicity 2)  24 Zn 3.76
Zn (0.0000, 0.2500, 0.5000) (multiplicity 12)  4 Zn 2.38



[6]
Here is a relaxed structure of Sc3Zn from Alexandria. Energies are from GGA-PBE.

Properties
For the final energy, the calculation gives -5.073 eV per atom. As for the density: 3.89 g/cm³. Its energy of formation is -0.005 eV per atom. The calculation puts the total magnetization at 0.177 μB/atom.

abc: 6.9947 6.9947 6.9947
angles: 90.00 90.00 90.00
With the nearest neighbours (Å) after each atom.
Space group Fm-3m (No. 225)
Asymmetric unit:
Sc (0.0000, 0.0000, 0.0000) (multiplicity 4)  8 Sc 3.03
Sc (0.2500, 0.2500, 0.2500) (multiplicity 8)  4 Sc 3.03, 4 Zn 3.03
Zn (0.0000, 0.0000, 0.5000) (multiplicity 4)  8 Sc 3.03



[7]
Here is a relaxed structure of ScZn13 from Alexandria. Energies are from GGA-PBE.

Properties
For the final energy, the calculation gives -1.685 eV per atom. As for the density: 6.71 g/cm³. Its energy of formation is -0.049 eV per atom. The calculation puts the total magnetization at 0.000 μB/atom.

abc: 12.0992 12.0992 12.0992
angles: 90.00 90.00 90.00
With the nearest neighbours (Å) after each atom.
Space group Fm-3c (No. 226)
Asymmetric unit:
Sc (0.2500, 0.2500, 0.2500) (multiplicity 8)  24 Zn 3.50
Zn (0.0000, 0.0000, 0.0000) (multiplicity 8)  12 Zn 2.63
Zn (0.0000, 0.1214, 0.1804) (multiplicity 96)  9 Zn 2.50-2.73



[8]
Here is a relaxed structure of Sc3Zn4 from Alexandria. Energies are from GGA-PBE.

Properties
For the final energy, the calculation gives -3.556 eV per atom. As for the density: 4.63 g/cm³. Its energy of formation is -0.115 eV per atom. The value obtained for the offset from the most stable computed form is 96.4 meV per atom. The calculation puts the total magnetization at 0.000 μB/atom.

abc: 4.6626 4.6626 22.6836
angles: 90.00 90.00 120.00
With the nearest neighbours (Å) after each atom.
Space group R-3m (No. 166, hexagonal axes)
Asymmetric unit:
Sc (0.0000, 0.0000, 0.0000) (multiplicity 3)  8 Zn 2.83-2.90
Sc (0.0000, 0.0000, 0.2486) (multiplicity 6)  8 Zn 2.81-3.01
Zn (0.0000, 0.0000, 0.1247) (multiplicity 6)  5 Sc 2.81-2.84
Zn (0.0000, 0.0000, 0.3814) (multiplicity 6)  7 Sc 2.82-3.01



[9]
Here is a relaxed structure of Sc8Zn from Alexandria. Energies are from GGA-PBE.

Properties
For the final energy, the calculation gives -5.764 eV per atom. As for the density: 3.38 g/cm³. Its energy of formation is 0.006 eV per atom. The calculation puts the total magnetization at 0.000 μB/atom.

abc: 9.6355 9.6355 4.4968
angles: 90.00 90.00 90.00
With the nearest neighbours (Å) after each atom.
Space group I4/mmm (No. 139)
Asymmetric unit:
Sc (0.0000, 0.3311, 0.0000) (multiplicity 8)  11 Sc 3.19-3.26, 1 Zn 3.19
Sc (0.1617, 0.1617, 0.5000) (multiplicity 8)  10 Sc 3.12-3.29, 2 Zn 3.15
Zn (0.0000, 0.0000, 0.0000) (multiplicity 2)  12 Sc 3.15-3.19



[10]
Here is a relaxed structure of ScZn2 from Alexandria. Energies are from GGA-PBE.

Properties
For the final energy, the calculation gives -3.165 eV per atom. As for the density: 5.21 g/cm³. Its energy of formation is -0.206 eV per atom. The calculation puts the total magnetization at 0.000 μB/atom.

abc: 3.7934 3.7934 15.5815
angles: 90.00 90.00 90.00
With the nearest neighbours (Å) after each atom.
Space group I4_1/amd (No. 141, origin choice 2)
Asymmetric unit:
Sc (0.0000, 0.2500, 0.3750) (multiplicity 4)  12 Zn 2.95-3.28
Zn (0.0000, 0.2500, 0.7968) (multiplicity 8)  3 Zn 2.39-2.44



[11]
Here is a relaxed structure of Sc3Zn from Alexandria. Energies are from GGA-PBE.

Properties
For the final energy, the calculation gives -5.193 eV per atom. As for the density: 3.91 g/cm³. Its energy of formation is -0.126 eV per atom. The calculation puts the total magnetization at 0.114 μB/atom.

abc: 6.2612 6.2612 5.0106
angles: 90.00 90.00 120.00
With the nearest neighbours (Å) after each atom.
Space group P6_3/mmc (No. 194)
Asymmetric unit:
Sc (0.1716, 0.3432, 0.2500) (multiplicity 6)  8 Sc 3.04-3.22, 4 Zn 3.06-3.13
Zn (0.3333, 0.6667, 0.7500) (multiplicity 2)  12 Sc 3.06-3.13



[12]
Here is a relaxed structure of Sc2Zn3 from Alexandria. Energies are from GGA-PBE.

Properties
For the final energy, the calculation gives -3.348 eV per atom. As for the density: 4.56 g/cm³. Its energy of formation is -0.051 eV per atom. The calculation puts the total magnetization at 0.000 μB/atom.

abc: 4.5890 4.5890 5.7191
angles: 90.00 90.00 120.00
With the nearest neighbours (Å) after each atom.
Space group P-3m1 (No. 164)
Asymmetric unit:
Sc (0.3333, 0.6667, 0.3303) (multiplicity 2)  8 Zn 2.80-2.92
Zn (0.0000, 0.0000, 0.5000) (multiplicity 1)  6 Sc 2.82
Zn (0.3333, 0.6667, 0.8414) (multiplicity 2)  5 Sc 2.80-2.92